[1]
Entry from the Alexandria database: crystalline BaVCdGe2 at its relaxed geometry (GGA-PBE).

Lattice parameters (Å, degrees): 4.8957 4.8957 5.7310 90.00 90.00 90.00
With the nearest neighbours (Å) after each atom.
Element x y z (fractional)
1 Ba 0.0000 0.0000 0.0000  2 V 2.87
2 V 0.0000 0.0000 0.5000  4 Ge 2.45
3 Cd 0.5000 0.5000 0.0000  4 Ba 3.46, 8 Ge 3.77
4 Ge 0.0000 0.5000 0.5000  2 V 2.45
5 Ge 0.5000 0.0000 0.5000  2 V 2.45

Summary:
calculated formation energy = 217 meV per atom

[2]
Entry from the Alexandria database: crystalline Ba2Zn3CdGe4 at its relaxed geometry (GGA-PBE).

Lattice parameters (Å, degrees): 4.5611 4.5611 11.1087 90.00 90.00 90.00
With the nearest neighbours (Å) after each atom.
Element x y z (fractional)
1 Ba 0.0000 0.5000 0.2469  8 Ge 3.46-3.57, 6 Zn 3.49-3.62, 2 Cd 3.62
2 Ba 0.5000 0.0000 0.7531  8 Ge 3.46-3.57, 6 Zn 3.49-3.62, 2 Cd 3.62
3 Zn 0.0000 0.5000 0.8735  5 Ge 2.60-2.68
4 Zn 0.5000 0.0000 0.1265  5 Ge 2.60-2.68
5 Zn 0.5000 0.5000 0.5000  4 Ge 2.76
6 Cd 0.0000 0.0000 0.5000  4 Ge 2.76
7 Ge 0.0000 0.0000 0.0000  4 Zn 2.68
8 Ge 0.0000 0.5000 0.6392  3 Zn 2.60-2.76, 2 Cd 2.76
9 Ge 0.5000 0.0000 0.3608  3 Zn 2.60-2.76, 2 Cd 2.76
10 Ge 0.5000 0.5000 0.0000  4 Zn 2.68

Summary:
calculated formation energy = -368 meV per atom

[3]
Entry from the Alexandria database: crystalline Ba2Zn4CdGe3 at its relaxed geometry (GGA-PBE).

Lattice parameters (Å, degrees): 4.5296 4.5296 11.1575 90.00 90.00 90.00
With the nearest neighbours (Å) after each atom.
Element x y z (fractional)
1 Ba 0.0000 0.5000 0.2391  6 Ge 3.44-3.69, 8 Zn 3.48-3.50, 2 Cd 3.69
2 Ba 0.5000 0.0000 0.7609  6 Ge 3.44-3.69, 8 Zn 3.48-3.50, 2 Cd 3.69
3 Zn 0.0000 0.0000 0.0000  4 Ge 2.67
4 Zn 0.0000 0.5000 0.6389  3 Ge 2.61-2.74, 2 Cd 2.74
5 Zn 0.5000 0.0000 0.3611  3 Ge 2.61-2.74, 2 Cd 2.74
6 Zn 0.5000 0.5000 0.0000  4 Ge 2.67
7 Cd 0.0000 0.0000 0.5000  4 Zn 2.74
8 Ge 0.0000 0.5000 0.8730  5 Zn 2.61-2.67
9 Ge 0.5000 0.0000 0.1270  5 Zn 2.61-2.67
10 Ge 0.5000 0.5000 0.5000  4 Zn 2.74

Summary:
calculated formation energy = -345 meV per atom

[4]
Entry from the Alexandria database: crystalline Ba2ZnCd3Ge4 at its relaxed geometry (GGA-PBE).

Lattice parameters (Å, degrees): 4.6836 4.6836 11.4666 90.00 90.00 90.00
With the nearest neighbours (Å) after each atom.
Element x y z (fractional)
1 Ba 0.0000 0.5000 0.2445  8 Ge 3.57-3.75, 6 Cd 3.59-3.65, 2 Zn 3.65
2 Ba 0.5000 0.0000 0.7555  8 Ge 3.57-3.75, 6 Cd 3.59-3.65, 2 Zn 3.65
3 Zn 0.5000 0.5000 0.0000  4 Ge 2.76
4 Cd 0.0000 0.0000 0.0000  4 Ge 2.76
5 Cd 0.0000 0.5000 0.6345  5 Ge 2.73-2.80
6 Cd 0.5000 0.0000 0.3655  5 Ge 2.73-2.80
7 Ge 0.0000 0.0000 0.5000  4 Cd 2.80
8 Ge 0.0000 0.5000 0.8725  3 Cd 2.73-2.76, 2 Zn 2.76
9 Ge 0.5000 0.0000 0.1275  3 Cd 2.73-2.76, 2 Zn 2.76
10 Ge 0.5000 0.5000 0.5000  4 Cd 2.80

Summary:
calculated formation energy = -324 meV per atom

[5]
Entry from the Alexandria database: crystalline BaZnCd2Ge at its relaxed geometry (GGA-PBE).

Lattice parameters (Å, degrees): 6.8367 6.8367 6.8367 140.57 140.36 57.15
With the nearest neighbours (Å) after each atom.
Element x y z (fractional)
1 Ba 0.0000 0.0000 0.0000  4 Ge 3.53, 8 Cd 3.59-3.90, 4 Zn 3.65-3.93
2 Zn 0.2653 0.7653 0.5000  2 Ge 2.75, 2 Cd 2.88
3 Cd 0.6225 0.6225 0.0000  1 Ge 2.79, 2 Cd 2.85, 2 Zn 2.88
4 Cd 0.7615 0.2615 0.5000  2 Ge 2.78, 2 Cd 2.85
5 Ge 0.3900 0.3900 0.0000  2 Zn 2.75, 3 Cd 2.78-2.79

Summary:
calculated formation energy = -305 meV per atom

[6]
Entry from the Alexandria database: crystalline Ba3Zn2Cd2Ge4 at its relaxed geometry (GGA-PBE).

Lattice parameters (Å, degrees): 4.5097 4.5097 17.7203 90.00 90.00 120.00
With the nearest neighbours (Å) after each atom.
Element x y z (fractional)
1 Ba 0.0000 0.0000 0.0000  6 Ge 3.54, 6 Zn 3.60
2 Ba 0.0000 0.0000 0.2761  6 Ge 3.34-3.61, 3 Zn 3.55
3 Ba 0.0000 0.0000 0.7239  6 Ge 3.34-3.61, 3 Zn 3.55
4 Zn 0.3333 0.6667 0.1399  3 Ge 2.60-2.61
5 Zn 0.6667 0.3333 0.8601  3 Ge 2.60-2.61
6 Cd 0.3333 0.6667 0.5524  4 Ge 2.77-2.80
7 Cd 0.6667 0.3333 0.4476  4 Ge 2.77-2.80
8 Ge 0.3333 0.6667 0.3942  4 Cd 2.77-2.80
9 Ge 0.3333 0.6667 0.8648  3 Zn 2.60-2.61
10 Ge 0.6667 0.3333 0.1352  3 Zn 2.60-2.61
11 Ge 0.6667 0.3333 0.6058  4 Cd 2.77-2.80

Summary:
calculated formation energy = -355 meV per atom

no.,ρ (g cm⁻³),volume (Å³/cell)
1,5.4,137.4
2,6.3,231.1
3,6.3,228.9
4,6.4,251.5
5,6.5,128.4
6,5.6,312.1